#A
A plane-wave DFT calculation with PBE-GGA was carried out for a relaxed structure of CsSb2Se2.

Output
Crystal system = monoclinic
Total magnetization = 0.000 μB/f.u.
Volume = 41.63 A^3/atom

Cell lengths 7.8588, 17.8242, 6.9490 Å; angles 90.00, 121.21, 90.00 degrees
Space group C2/c (No. 15)
Unique sites:
Cs: 0.0000 0.1770 0.2500 x4
Sb: 0.1532 0.3959 0.9750 x8
Se: 0.0000 0.2676 0.7500 x4
Se: 0.0000 0.4074 0.2500 x4

#B
A plane-wave DFT calculation with PBE-GGA was carried out for a relaxed structure of CsSb2Se2.

Output
Crystal system = tetragonal
Total magnetization = 0.000 μB/f.u.
Volume = 35.51 A^3/atom

Cell lengths 9.5957, 9.5957, 3.8563 Å; angles 90.00, 90.00, 90.00 degrees
Space group P4/mbm (No. 127)
Unique sites:
Cs: 0.0000 0.0000 0.0000 x2
Sb: 0.1255 0.3745 0.0000 x4
Se: 0.2374 0.7374 0.5000 x4

#C
A plane-wave DFT calculation with PBE-GGA was carried out for a relaxed structure of CsSb2Se2.

Output
Crystal system = tetragonal
Total magnetization = 0.000 μB/f.u.
Volume = 33.41 A^3/atom

Cell lengths 5.7175, 5.7175, 10.2212 Å; angles 90.00, 90.00, 90.00 degrees
Space group I4/mmm (No. 139)
Unique sites:
Cs: 0.0000 0.0000 0.0000 x2
Sb: 0.0000 0.0000 0.3471 x4
Se: 0.0000 0.5000 0.2500 x4

Short version: #A is the most stable of them.

#A
A plane-wave DFT calculation with PBE-GGA was carried out for a relaxed structure of Cs2SbSe4.

Output
Crystal system = monoclinic
Total magnetization = 0.000 μB/f.u.
Volume = 48.12 A^3/atom

Cell lengths 7.8465, 6.2514, 13.7946 Å; angles 90.00, 95.43, 90.00 degrees
Space group P2_1/m (No. 11)
Unique sites:
Cs: 0.2219 0.2500 0.4399 x2
Cs: 0.2375 0.2500 0.9201 x2
Sb: 0.2920 0.7500 0.2441 x2
Se: 0.0120 0.7500 0.3278 x2
Se: 0.2472 0.7500 0.0621 x2
Se: 0.3971 0.0578 0.6874 x4

#B
A plane-wave DFT calculation with PBE-GGA was carried out for a relaxed structure of Cs2SbSe4.

Output
Crystal system = monoclinic
Total magnetization = 0.000 μB/f.u.
Volume = 38.81 A^3/atom

Cell lengths 8.1380, 4.0644, 8.6510 Å; angles 90.00, 108.30, 90.00 degrees
Space group Pm (No. 6)
Unique sites:
Cs: 0.0000 0.0000 0.0000 x1
Cs: 0.4075 0.0000 0.6513 x1
Sb: 0.7041 0.5000 0.3257 x1
Se: 0.0914 0.5000 0.3862 x1
Se: 0.3172 0.5000 0.2641 x1
Se: 0.6048 0.0000 0.0900 x1
Se: 0.8026 0.0000 0.5613 x1

Short version: #A is the most stable of them.

#A
A plane-wave DFT calculation with PBE-GGA was carried out for a relaxed structure of CsSbSe3.

Output
Crystal system = cubic
Total magnetization = 0.002 μB/f.u.
Volume = 38.32 A^3/atom

Cell lengths 5.7652, 5.7652, 5.7652 Å; angles 90.00, 90.00, 90.00 degrees
Space group Pm-3m (No. 221)
Unique sites:
Cs: 0.0000 0.0000 0.0000 x1
Sb: 0.5000 0.5000 0.5000 x1
Se: 0.0000 0.0000 0.5000 x3

#B
A plane-wave DFT calculation with PBE-GGA was carried out for a relaxed structure of CsSbSe3.

Output
Crystal system = cubic
Total magnetization = 0.000 μB/f.u.
Volume = 32.85 A^3/atom

Cell lengths 5.4763, 5.4763, 5.4763 Å; angles 90.00, 90.00, 90.00 degrees
Space group Pm-3m (No. 221)
Unique sites:
Cs: 0.0000 0.0000 0.0000 x1
Sb: 0.5000 0.5000 0.5000 x1
Se: 0.0000 0.5000 0.5000 x3

#C
A plane-wave DFT calculation with PBE-GGA was carried out for a relaxed structure of CsSbSe3.

Output
Crystal system = monoclinic
Total magnetization = 0.000 μB/f.u.
Volume = 37.48 A^3/atom

Cell lengths 5.3888, 6.8888, 10.0962 Å; angles 90.00, 90.33, 90.00 degrees
Space group P2_1 (No. 4)
Unique sites:
Cs: 0.2476 0.0000 0.2035 x2
Sb: 0.2497 0.9808 0.6155 x2
Se: 0.0086 0.5041 0.1549 x2
Se: 0.2515 0.3358 0.5305 x2
Se: 0.4889 0.5005 0.1542 x2

Short version: #C is the most stable of them.

#A
A plane-wave DFT calculation with PBE-GGA was carried out for a relaxed structure of Cs3SiSb.

Output
Crystal system = cubic
Total magnetization = 4.000 μB/f.u.
Volume = 78.36 A^3/atom

Cell lengths 7.3172, 7.3172, 7.3172 Å; angles 90.00, 90.00, 90.00 degrees
Space group Pm-3m (No. 221)
Unique sites:
Cs: 0.0000 0.0000 0.5000 x3
Si: 0.5000 0.5000 0.5000 x1
Sb: 0.0000 0.0000 0.0000 x1

#B
A plane-wave DFT calculation with PBE-GGA was carried out for a relaxed structure of Cs3SiSb.

Output
Crystal system = triclinic
Total magnetization = 0.000 μB/f.u.
Volume = 43.03 A^3/atom

Cell lengths 4.0023, 10.9293, 11.2432 Å; angles 63.20, 79.76, 89.85 degrees
Space group P-1 (No. 2)
Unique sites:
Cs: 0.0761 0.4713 0.3498 x2
Cs: 0.0874 0.1415 0.3169 x2
Cs: 0.2264 0.8179 0.0418 x2
Si: 0.2738 0.4872 0.9527 x2
Sb: 0.4245 0.1775 0.6551 x2

Short version: #B is the most stable of them.

#A
A plane-wave DFT calculation with PBE-GGA was carried out for a relaxed structure of CsSiSb3.

Output
Crystal system = cubic
Total magnetization = 0.000 μB/f.u.
Volume = 44.78 A^3/atom

Cell lengths 6.0724, 6.0724, 6.0724 Å; angles 90.00, 90.00, 90.00 degrees
Space group Pm-3m (No. 221)
Unique sites:
Cs: 0.0000 0.0000 0.0000 x1
Si: 0.5000 0.5000 0.5000 x1
Sb: 0.0000 0.0000 0.5000 x3

#B
A plane-wave DFT calculation with PBE-GGA was carried out for a relaxed structure of CsSiSb3.

Output
Crystal system = cubic
Total magnetization = 0.000 μB/f.u.
Volume = 33.11 A^3/atom

Cell lengths 5.4908, 5.4908, 5.4908 Å; angles 90.00, 90.00, 90.00 degrees
Space group Pm-3m (No. 221)
Unique sites:
Cs: 0.0000 0.0000 0.0000 x1
Si: 0.5000 0.5000 0.5000 x1
Sb: 0.0000 0.5000 0.5000 x3

Short version: #B is the most stable of them.

#A
A plane-wave DFT calculation with PBE-GGA was carried out for a relaxed structure of Cs3SnSb.

Output
Crystal system = cubic
Total magnetization = 3.988 μB/f.u.
Volume = 78.54 A^3/atom

Cell lengths 7.3230, 7.3230, 7.3230 Å; angles 90.00, 90.00, 90.00 degrees
Space group Pm-3m (No. 221)
Unique sites:
Cs: 0.0000 0.0000 0.5000 x3
Sn: 0.5000 0.5000 0.5000 x1
Sb: 0.0000 0.0000 0.0000 x1

#B
A plane-wave DFT calculation with PBE-GGA was carried out for a relaxed structure of Cs3SnSb.

Output
Crystal system = monoclinic
Total magnetization = 0.000 μB/f.u.
Volume = 49.97 A^3/atom

Cell lengths 10.9601, 7.5206, 13.7613 Å; angles 90.00, 118.22, 90.00 degrees
Space group P2_1/c (No. 14)
Unique sites:
Cs: 0.0317 0.1828 0.3900 x4
Cs: 0.2174 0.0874 0.1992 x4
Cs: 0.4431 0.5646 0.3476 x4
Sn: 0.4018 0.5136 0.0431 x4
Sb: 0.1904 0.7103 0.4460 x4

Short version: #B is the most stable of them.

#A
A plane-wave DFT calculation with PBE-GGA was carried out for a relaxed structure of Cs2Sn2Sb.

Output
Crystal system = monoclinic
Total magnetization = 0.000 μB/f.u.
Volume = 50.35 A^3/atom

Cell lengths 8.8230, 13.4986, 9.2604 Å; angles 90.00, 114.06, 90.00 degrees
Space group C2/m (No. 12)
Unique sites:
Cs: 0.2348 0.1611 0.2752 x8
Sn: 0.1377 0.5000 0.3088 x4
Sn: 0.2036 0.0000 0.9073 x4
Sb: 0.0000 0.3655 0.0000 x4

#B
A plane-wave DFT calculation with PBE-GGA was carried out for a relaxed structure of Cs2Sn2Sb.

Output
Crystal system = tetragonal
Total magnetization = 0.002 μB/f.u.
Volume = 44.19 A^3/atom

Cell lengths 11.3922, 11.3922, 3.4052 Å; angles 90.00, 90.00, 90.00 degrees
Space group P4/mbm (No. 127)
Unique sites:
Cs: 0.2093 0.2907 0.0000 x4
Sn: 0.0865 0.5865 0.5000 x4
Sb: 0.0000 0.0000 0.5000 x2

Short version: #A is the most stable of them.

#A
A plane-wave DFT calculation with PBE-GGA was carried out for a relaxed structure of CsSnSb2Te.

Output
Crystal system = tetragonal
Total magnetization = 0.000 μB/f.u.
Volume = 47.34 A^3/atom

Cell lengths 6.1356, 6.1356, 6.2877 Å; angles 90.00, 90.00, 90.00 degrees
Space group P4/mmm (No. 123)
Unique sites:
Cs: 0.0000 0.0000 0.0000 x1
Sn: 0.5000 0.5000 0.5000 x1
Sb: 0.0000 0.5000 0.0000 x2
Te: 0.0000 0.0000 0.5000 x1

#B
A plane-wave DFT calculation with PBE-GGA was carried out for a relaxed structure of CsSnSb2Te.

Output
Crystal system = tetragonal
Total magnetization = 1.117 μB/f.u.
Volume = 40.98 A^3/atom

Cell lengths 5.8241, 5.8241, 6.0406 Å; angles 90.00, 90.00, 90.00 degrees
Space group P4/mmm (No. 123)
Unique sites:
Cs: 0.0000 0.0000 0.0000 x1
Sn: 0.5000 0.5000 0.5000 x1
Sb: 0.0000 0.5000 0.5000 x2
Te: 0.5000 0.5000 0.0000 x1

Short version: #B is the most stable of them.

#A
A plane-wave DFT calculation with PBE-GGA was carried out for a relaxed structure of CsSrSb2.

Output
Crystal system = tetragonal
Total magnetization = 0.000 μB/f.u.
Volume = 52.72 A^3/atom

Cell lengths 6.1799, 6.1799, 22.0852 Å; angles 90.00, 90.00, 90.00 degrees
Space group I-42d (No. 122)
Unique sites:
Cs: 0.0000 0.0000 0.0000 x4
Sr: 0.0000 0.0000 0.5000 x4
Sb: 0.0649 0.2500 0.6250 x8

#B
A plane-wave DFT calculation with PBE-GGA was carried out for a relaxed structure of CsSrSb2.

Output
Crystal system = cubic
Total magnetization = 0.000 μB/f.u.
Volume = 38.14 A^3/atom

Cell lengths 8.4817, 8.4817, 8.4817 Å; angles 90.00, 90.00, 90.00 degrees
Space group Fm-3m (No. 225)
Unique sites:
Cs: 0.0000 0.0000 0.0000 x4
Sr: 0.0000 0.0000 0.5000 x4
Sb: 0.2500 0.2500 0.2500 x8

Short version: #A is the most stable of them.

#A
A plane-wave DFT calculation with PBE-GGA was carried out for a relaxed structure of CsSr3Sb.

Output
Crystal system = cubic
Total magnetization = 0.000 μB/f.u.
Volume = 57.38 A^3/atom

Cell lengths 6.5953, 6.5953, 6.5953 Å; angles 90.00, 90.00, 90.00 degrees
Space group Pm-3m (No. 221)
Unique sites:
Cs: 0.0000 0.0000 0.0000 x1
Sr: 0.0000 0.5000 0.5000 x3
Sb: 0.5000 0.5000 0.5000 x1

#B
A plane-wave DFT calculation with PBE-GGA was carried out for a relaxed structure of CsSr3Sb.

Output
Crystal system = cubic
Total magnetization = 1.661 μB/f.u.
Volume = 45.52 A^3/atom

Cell lengths 6.1055, 6.1055, 6.1055 Å; angles 90.00, 90.00, 90.00 degrees
Space group Pm-3m (No. 221)
Unique sites:
Cs: 0.0000 0.0000 0.0000 x1
Sr: 0.0000 0.0000 0.5000 x3
Sb: 0.5000 0.5000 0.5000 x1

Short version: #A is the most stable of them.

#A
A plane-wave DFT calculation with PBE-GGA was carried out for a relaxed structure of CsTa3Sb.

Output
Crystal system = cubic
Total magnetization = 0.000 μB/f.u.
Volume = 29.05 A^3/atom

Cell lengths 5.2563, 5.2563, 5.2563 Å; angles 90.00, 90.00, 90.00 degrees
Space group Pm-3m (No. 221)
Unique sites:
Cs: 0.0000 0.0000 0.0000 x1
Ta: 0.0000 0.5000 0.5000 x3
Sb: 0.5000 0.5000 0.5000 x1

#B
A plane-wave DFT calculation with PBE-GGA was carried out for a relaxed structure of CsTa3Sb.

Output
Crystal system = cubic
Total magnetization = 0.000 μB/f.u.
Volume = 26.11 A^3/atom

Cell lengths 5.0727, 5.0727, 5.0727 Å; angles 90.00, 90.00, 90.00 degrees
Space group Pm-3m (No. 221)
Unique sites:
Cs: 0.0000 0.0000 0.0000 x1
Ta: 0.0000 0.0000 0.5000 x3
Sb: 0.5000 0.5000 0.5000 x1

Short version: #A is the most stable of them.